La8Nd2Y3 (PBE-GGA, relaxed); E = -66.47 eV for the cell shown; E_form = 144.1 meV/atom; volume = 35.88 Å³/atom; energy above the lowest structure with this stoichiometry = 0.0000 eV/atom
1.0
6.0436 0.2602 1.2726
1.8646 8.7136 1.5581
0.7035 -0.6808 8.9929
Nd Y La
2 3 8
Direct
0.3336 0.2972 0.2972 Nd
0.6664 0.7028 0.7028 Nd
0.0000 0.2530 0.7470 Y
0.0000 0.7470 0.2530 Y
0.5000 0.0000 0.0000 Y
0.6534 0.0810 0.5887 La
0.0846 0.8553 0.8553 La
0.9154 0.1447 0.1447 La
0.7759 0.4460 0.4460 La
0.6534 0.5887 0.0810 La
0.2241 0.5540 0.5540 La
0.3466 0.9190 0.4113 La
0.3466 0.4113 0.9190 La